CsNb2Pt | GGA-PBE | relaxed

Calculated values
The calculation puts the relative energy among the computed polymorphs at 0.000 eV per atom. As for the symmetry: No. 225. The formation enthalpy at 0 K comes out at 1.012 eV/atom.

Cell and atoms, written as POSCAR:
```
CsNb2Pt
1.0
6.7984 0.0000 0.0000
0.0000 6.7984 0.0000
0.0000 0.0000 6.7984
Cs Nb Pt
4 8 4
direct
0.0000 0.0000 0.0000
0.0000 0.5000 0.5000
0.5000 0.0000 0.5000
0.5000 0.5000 0.0000
0.2500 0.2500 0.2500
0.2500 0.2500 0.7500
0.2500 0.7500 0.2500
0.2500 0.7500 0.7500
0.7500 0.2500 0.2500
0.7500 0.2500 0.7500
0.7500 0.7500 0.2500
0.7500 0.7500 0.7500
0.0000 0.0000 0.5000
0.0000 0.5000 0.0000
0.5000 0.0000 0.0000
0.5000 0.5000 0.5000
```

CsNb2Pt | GGA-PBE | relaxed

Calculated values
The calculation puts the relative energy among the computed polymorphs at 0.134 eV per atom. As for the symmetry: No. 122. The formation enthalpy at 0 K comes out at 1.146 eV/atom.

Cell and atoms, written as POSCAR:
```
CsNb2Pt
1.0
4.9267 0.0000 0.0000
0.0000 4.9267 0.0000
0.0000 0.0000 18.9558
Cs Nb Pt
4 8 4
direct
0.0000 0.0000 0.0000
0.0000 0.5000 0.2500
0.5000 0.0000 0.7500
0.5000 0.5000 0.5000
0.0836 0.2500 0.6250
0.2500 0.5836 0.8750
0.2500 0.9164 0.3750
0.4164 0.2500 0.1250
0.5836 0.7500 0.1250
0.7500 0.0836 0.3750
0.7500 0.4164 0.8750
0.9164 0.7500 0.6250
0.0000 0.0000 0.5000
0.0000 0.5000 0.7500
0.5000 0.0000 0.2500
0.5000 0.5000 0.0000
```

CsNbPt2 | GGA-PBE | relaxed

Calculated values
As for the symmetry: No. 225. The formation enthalpy at 0 K comes out at 0.822 eV/atom.

Cell and atoms, written as POSCAR:
```
CsNbPt2
1.0
7.0391 0.0000 0.0000
0.0000 7.0391 0.0000
0.0000 0.0000 7.0391
Cs Nb Pt
4 4 8
direct
0.0000 0.0000 0.0000
0.0000 0.5000 0.5000
0.5000 0.0000 0.5000
0.5000 0.5000 0.0000
0.0000 0.0000 0.5000
0.0000 0.5000 0.0000
0.5000 0.0000 0.0000
0.5000 0.5000 0.5000
0.2500 0.2500 0.2500
0.2500 0.2500 0.7500
0.2500 0.7500 0.2500
0.2500 0.7500 0.7500
0.7500 0.2500 0.2500
0.7500 0.2500 0.7500
0.7500 0.7500 0.2500
0.7500 0.7500 0.7500
```

CsNbPtS2 | GGA-PBE | relaxed

Calculated values
As for the symmetry: No. 123. The calculation puts the energy relative to the elements, uncorrected at 461 meV/atom.

Cell and atoms, written as POSCAR:
```
CsNbPtS2
1.0
5.1036 0.0000 0.0000
0.0000 5.1036 0.0000
0.0000 0.0000 5.0382
Cs Nb Pt S
1 1 1 2
direct
0.0000 0.0000 0.0000
0.5000 0.5000 0.0000
0.5000 0.5000 0.5000
0.0000 0.5000 0.5000
0.5000 0.0000 0.5000
```

Cs2NbPtS4 | GGA-PBE | relaxed

Calculated values
As for the symmetry: No. 70. The calculation puts the energy relative to the elements, uncorrected at -985 meV/atom.

Cell and atoms, written as POSCAR:
```
Cs2NbPtS4
1.0
0.0000 7.1288 12.7211
2.9009 0.0000 12.7211
2.9009 7.1288 0.0000
Cs Nb Pt S
4 2 2 8
direct
0.0523 0.0523 0.6977
0.3023 0.3023 0.9477
0.6977 0.6977 0.0523
0.9477 0.9477 0.3023
0.1250 0.1250 0.1250
0.8750 0.8750 0.8750
0.3750 0.3750 0.3750
0.6250 0.6250 0.6250
0.0333 0.3211 0.4026
0.2569 0.5974 0.6789
0.3211 0.0333 0.7431
0.4026 0.7431 0.0333
0.5974 0.2569 0.9667
0.6789 0.9667 0.2569
0.7431 0.4026 0.3211
0.9667 0.6789 0.5974
```

Cs2NbPtSe4 | GGA-PBE | relaxed

Calculated values
As for the symmetry: No. 70. The calculation puts the energy relative to the elements, uncorrected at -905 meV/atom.

Cell and atoms, written as POSCAR:
```
Cs2NbPtSe4
1.0
0.0000 7.3114 13.1072
2.9859 0.0000 13.1072
2.9859 7.3114 0.0000
Cs Nb Pt Se
4 2 2 8
direct
0.0537 0.0537 0.6963
0.3037 0.3037 0.9463
0.6963 0.6963 0.0537
0.9463 0.9463 0.3037
0.1250 0.1250 0.1250
0.8750 0.8750 0.8750
0.3750 0.3750 0.3750
0.6250 0.6250 0.6250
0.0354 0.3233 0.4055
0.2642 0.5945 0.6767
0.3233 0.0354 0.7358
0.4055 0.7358 0.0354
0.5945 0.2642 0.9646
0.6767 0.9646 0.2642
0.7358 0.4055 0.3233
0.9646 0.6767 0.5945
```

Which formula does entry 3 have? CsNbPt2

Copy entry 5 word for word.
Cs2NbPtS4 | GGA-PBE | relaxed

Calculated values
As for the symmetry: No. 70. The calculation puts the energy relative to the elements, uncorrected at -985 meV/atom.

Cell and atoms, written as POSCAR:
```
Cs2NbPtS4
1.0
0.0000 7.1288 12.7211
2.9009 0.0000 12.7211
2.9009 7.1288 0.0000
Cs Nb Pt S
4 2 2 8
direct
0.0523 0.0523 0.6977
0.3023 0.3023 0.9477
0.6977 0.6977 0.0523
0.9477 0.9477 0.3023
0.1250 0.1250 0.1250
0.8750 0.8750 0.8750
0.3750 0.3750 0.3750
0.6250 0.6250 0.6250
0.0333 0.3211 0.4026
0.2569 0.5974 0.6789
0.3211 0.0333 0.7431
0.4026 0.7431 0.0333
0.5974 0.2569 0.9667
0.6789 0.9667 0.2569
0.7431 0.4026 0.3211
0.9667 0.6789 0.5974
```